A plane-wave DFT calculation with PBE-GGA was carried out for a relaxed structure of HoI4.

**Final energy**: -2.9297 eV per atom
**DOS(E_F)**: 1.23 states/eV per atom

Cell: 6.0070 6.0070 6.0070 Å, 90.00 90.00 90.00°
Closest atoms and distances in Å follow each position.
Space group Pm-3m (No. 221)
Asymmetric unit:
Ho 0.0000 0.0000 0.0000 [1 per cell]  6 I 3.00
I 0.0000 0.0000 0.5000 [3 per cell]  2 Ho 3.00
I 0.5000 0.5000 0.5000 [1 per cell]  12 I 4.25